[1]
{
  "formula": "Pr2SmMg3Pd2Au",
  "functional": "GGA-PBE",
  "state": "relaxed",
  "lattice_angstrom": [[4.170, 0.000, 0.000], [0.000, 6.651, 3.838], [0.000, -6.651, 3.838]],
  "species": ["Pr", "Pr", "Sm", "Mg", "Mg", "Mg", "Pd", "Pd", "Au"],
  "frac_coords": [[0.000, 0.208, 0.792], [0.000, 0.792, 0.208], [0.000, 0.377, 0.377], [0.500, 0.037, 0.037], [0.500, 0.548, 0.791], [0.500, 0.791, 0.548], [0.500, 0.128, 0.458], [0.500, 0.458, 0.128], [0.000, 0.790, 0.790]],
  "magnetic_moment_mub_per_fu": 0.004,
  "e_tot_ev_per_atom": -4.268
}

[2]
{
  "formula": "TbFeTc",
  "functional": "GGA-PBE",
  "state": "relaxed",
  "lattice_angstrom": [[0.000, 3.047, 3.047], [3.047, 0.000, 3.047], [3.047, 3.047, 0.000]],
  "species": ["Tb", "Fe", "Tc"],
  "frac_coords": [[0.000, 0.000, 0.000], [0.250, 0.250, 0.250], [0.500, 0.500, 0.500]],
  "magnetic_moment_mub_per_fu": 0.880,
  "delta_e_f_ev_per_atom": 0.510
}

[3]
{
  "formula": "MgTlW2",
  "functional": "GGA-PBE",
  "state": "relaxed",
  "lattice_angstrom": [[0.000, 3.287, 3.287], [3.287, 0.000, 3.287], [3.287, 3.287, 0.000]],
  "species": ["Mg", "Tl", "W", "W"],
  "frac_coords": [[0.000, 0.000, 0.000], [0.750, 0.750, 0.750], [0.250, 0.250, 0.250], [0.500, 0.500, 0.500]],
  "magnetic_moment_mub_per_fu": 0.000,
  "e_tot_ev_per_atom": -6.742
}

[4]
{
  "formula": "GdF3",
  "functional": "GGA-PBE",
  "state": "relaxed",
  "lattice_angstrom": [[3.913, 0.000, 0.000], [0.000, 4.992, 0.000], [0.000, 0.000, 4.317]],
  "species": ["Gd", "Gd", "F", "F", "F", "F", "F", "F"],
  "frac_coords": [[0.250, 0.250, 0.218], [0.750, 0.750, 0.782], [0.250, 0.003, 0.672], [0.250, 0.497, 0.672], [0.250, 0.750, 0.123], [0.750, 0.250, 0.877], [0.750, 0.503, 0.328], [0.750, 0.997, 0.328]],
  "magnetic_moment_mub_per_fu": 0.000,
  "e_tot_ev_per_atom": -6.482
}

[5]
{
  "formula": "La4Ni19Sn",
  "functional": "GGA-PBE",
  "state": "relaxed",
  "lattice_angstrom": [[3.992, 0.000, 0.000], [0.000, 8.748, 5.100], [0.000, -8.748, 5.100]],
  "species": ["La", "La", "La", "La", "Ni", "Ni", "Ni", "Ni", "Ni", "Ni", "Ni", "Ni", "Ni", "Ni", "Ni", "Ni", "Ni", "Ni", "Ni", "Ni", "Ni", "Ni", "Ni", "Sn"],
  "frac_coords": [[0.000, 0.000, 0.000], [0.000, 0.018, 0.520], [0.000, 0.520, 0.018], [0.500, 0.546, 0.546], [0.000, 0.187, 0.850], [0.000, 0.191, 0.371], [0.000, 0.361, 0.677], [0.000, 0.371, 0.191], [0.000, 0.672, 0.835], [0.000, 0.677, 0.361], [0.000, 0.835, 0.672], [0.000, 0.850, 0.187], [0.500, 0.008, 0.268], [0.500, 0.022, 0.767], [0.500, 0.258, 0.524], [0.500, 0.267, 0.767], [0.500, 0.268, 0.008], [0.500, 0.517, 0.792], [0.500, 0.524, 0.258], [0.500, 0.767, 0.022], [0.500, 0.767, 0.267], [0.500, 0.792, 0.517], [0.500, 0.795, 0.795], [0.500, 0.247, 0.247]],
  "magnetic_moment_mub_per_fu": 0.114,
  "e_tot_ev_per_atom": -5.640
}

[6]
{
  "formula": "SrZnCdSe3",
  "functional": "GGA-PBE",
  "state": "relaxed",
  "lattice_angstrom": [[2.030, -6.949, 0.000], [2.030, 6.949, 0.000], [0.000, 0.000, 10.834]],
  "species": ["Sr", "Sr", "Zn", "Zn", "Cd", "Cd", "Se", "Se", "Se", "Se", "Se", "Se"],
  "frac_coords": [[0.229, 0.771, 0.750], [0.771, 0.229, 0.250], [0.000, 0.000, 0.000], [0.000, 0.000, 0.500], [0.488, 0.512, 0.250], [0.512, 0.488, 0.750], [0.106, 0.894, 0.250], [0.375, 0.625, 0.055], [0.375, 0.625, 0.445], [0.625, 0.375, 0.555], [0.625, 0.375, 0.945], [0.894, 0.106, 0.750]],
  "e_tot_ev_per_atom": -3.272
}

[7]
{
  "formula": "Re2Te2SeS",
  "functional": "GGA-PBE",
  "state": "relaxed",
  "lattice_angstrom": [[6.803, 0.000, 0.000], [-3.327, 6.094, 0.000], [-1.596, -1.196, 6.949]],
  "species": ["Re", "Re", "Re", "Re", "Te", "Te", "Te", "Te", "Se", "Se", "S", "S"],
  "frac_coords": [[0.014, 0.207, 0.005], [0.428, 0.176, 0.011], [0.572, 0.824, 0.989], [0.986, 0.793, 0.995], [0.224, 0.840, 0.726], [0.286, 0.394, 0.769], [0.714, 0.606, 0.231], [0.776, 0.160, 0.274], [0.244, 0.633, 0.166], [0.756, 0.367, 0.834], [0.221, 0.100, 0.245], [0.779, 0.900, 0.755]],
  "magnetic_moment_mub_per_fu": 0.000,
  "e_tot_ev_per_atom": -6.740
}

[8]
{
  "formula": "HfFePt",
  "functional": "GGA-PBE",
  "state": "relaxed",
  "lattice_angstrom": [[0.000, 3.024, 3.024], [3.024, 0.000, 3.024], [3.024, 3.024, 0.000]],
  "species": ["Hf", "Fe", "Pt"],
  "frac_coords": [[0.000, 0.000, 0.000], [0.750, 0.750, 0.750], [0.250, 0.250, 0.250]],
  "magnetic_moment_mub_per_fu": 1.692,
  "delta_e_f_ev_per_atom": 0.072
}

[9]
{
  "formula": "Gd6Ge2Ir",
  "functional": "GGA-PBE",
  "state": "relaxed",
  "lattice_angstrom": [[7.909, 0.000, 0.000], [-3.954, 6.849, 0.000], [0.000, 0.000, 4.300]],
  "species": ["Gd", "Gd", "Gd", "Gd", "Gd", "Gd", "Ge", "Ge", "Ir"],
  "frac_coords": [[0.000, 0.408, 0.000], [0.000, 0.750, 0.500], [0.250, 0.250, 0.500], [0.408, 0.000, 0.000], [0.592, 0.592, 0.000], [0.750, 0.000, 0.500], [0.333, 0.667, 0.500], [0.667, 0.333, 0.500], [0.000, 0.000, 0.000]],
  "magnetic_moment_mub_per_fu": 0.094,
  "e_tot_ev_per_atom": -5.762
}

[10]
{
  "formula": "ZnFeCoB",
  "functional": "GGA-PBE",
  "state": "relaxed",
  "lattice_angstrom": [[0.000, 2.705, 2.705], [2.705, 0.000, 2.705], [2.705, 2.705, 0.000]],
  "species": ["Zn", "Fe", "Co", "B"],
  "frac_coords": [[0.000, 0.000, 0.000], [0.250, 0.250, 0.250], [0.750, 0.750, 0.750], [0.500, 0.500, 0.500]],
  "magnetic_moment_mub_per_fu": 1.364,
  "e_tot_ev_per_atom": -5.572
}

[11]
{
  "formula": "ScCuSiHg",
  "functional": "GGA-PBE",
  "state": "relaxed",
  "lattice_angstrom": [[0.000, 3.273, 3.273], [3.273, 0.000, 3.273], [3.273, 3.273, 0.000]],
  "species": ["Sc", "Cu", "Si", "Hg"],
  "frac_coords": [[0.000, 0.000, 0.000], [0.750, 0.750, 0.750], [0.500, 0.500, 0.500], [0.250, 0.250, 0.250]],
  "magnetic_moment_mub_per_fu": 0.000,
  "e_tot_ev_per_atom": -3.942
}

[12]
{
  "formula": "ScBeNiBi",
  "functional": "GGA-PBE",
  "state": "relaxed",
  "lattice_angstrom": [[0.000, 3.264, 3.264], [3.264, 0.000, 3.264], [3.264, 3.264, 0.000]],
  "species": ["Sc", "Be", "Ni", "Bi"],
  "frac_coords": [[0.000, 0.000, 0.000], [0.250, 0.250, 0.250], [0.500, 0.500, 0.500], [0.750, 0.750, 0.750]],
  "magnetic_moment_mub_per_fu": 0.002,
  "e_tot_ev_per_atom": -4.764
}

Question: What is the formula in the first record?
Answer: Pr2SmMg3Pd2Au

Question: What is the formula in the eleventh record?
Answer: ScCuSiHg